TbSn3 | PBEsol | relaxed

Crystal system: cubic
Fermi-level density of states (states/eV per cell): 2.1
Energy (Ry/atom): -0.364
ΔH_f (0 K) (meV per atom): -502.1

```
data_TbSn3
_space_group_name_H-M_alt 'P m -3 m'
_space_group_IT_number 221
_space_group_name_Hall '-P 4 2 3'
_cell_length_a 4.632
_cell_length_b 4.632
_cell_length_c 4.632
_cell_angle_alpha 90.00
_cell_angle_beta 90.00
_cell_angle_gamma 90.00
loop_
_atom_site_label
_atom_site_fract_x
_atom_site_fract_y
_atom_site_fract_z
Tb1 0.000 0.000 0.000
Sn1 0.000 0.500 0.500
```